Here is ZrTlCrSb2 after structural relaxation from Alexandria. Energies are from PBE.

Summary:
The calculation puts the formation energy (no corrections) at 0.82 eV per atom. For the density of states at the Fermi level, the calculation gives 7.0 states/eV/cell.

Geometry as CIF:
```
data_ZrTlCrSb2
_cell_length_a 5.5968
_cell_length_b 5.5968
_cell_length_c 4.7609
_cell_angle_alpha 90.00
_cell_angle_beta 90.00
_cell_angle_gamma 90.00
_symmetry_space_group_name_H-M 'P 4/m m m'
_symmetry_Int_Tables_number 123
_symmetry_space_group_name_Hall '-P 4 2'
loop_
_atom_site_label
_atom_site_fract_x
_atom_site_fract_y
_atom_site_fract_z
Zr1 0.0000 0.0000 0.0000
Tl1 0.5000 0.5000 0.5000
Cr1 0.0000 0.0000 0.5000
Sb1 0.0000 0.5000 0.0000
```


Here is LiLu2Ru after structural relaxation from Alexandria. Energies are from PBE.

Summary:
For the density of states at the Fermi level, the calculation gives 1.7 states/eV/cell. The value obtained for the distance to the lowest polymorph of the same formula is 31 meV/atom. The value obtained for the formation energy from the elements is -0.32 eV/atom.

Geometry as CIF:
```
data_LiLu2Ru
_cell_length_a 3.3503
_cell_length_b 3.3503
_cell_length_c 7.9740
_cell_angle_alpha 90.00
_cell_angle_beta 90.00
_cell_angle_gamma 90.00
_symmetry_space_group_name_H-M 'P 4/m m m'
_symmetry_Int_Tables_number 123
_symmetry_space_group_name_Hall '-P 4 2'
loop_
_atom_site_label
_atom_site_fract_x
_atom_site_fract_y
_atom_site_fract_z
Li1 0.0000 0.0000 0.0000
Lu1 0.5000 0.5000 0.2988
Ru1 0.0000 0.0000 0.5000
```


Here is Ba2UZnS6 after structural relaxation from Alexandria. Energies are from PBE.

Summary:
The calculation puts the formation energy (no corrections) at -1.46 eV per atom.

Geometry as CIF:
```
data_Ba2UZnS6
_cell_length_a 7.0826
_cell_length_b 7.1219
_cell_length_c 12.2512
_cell_angle_alpha 90.00
_cell_angle_beta 125.10
_cell_angle_gamma 90.00
_symmetry_space_group_name_H-M 'P 1 21/c 1'
_symmetry_Int_Tables_number 14
loop_
_symmetry_equiv_pos_as_xyz
'x,y,z'
'-x,-y,-z'
'-x,y+1/2,-z+1/2'
'x,-y+1/2,z+1/2'
loop_
_atom_site_label
_atom_site_fract_x
_atom_site_fract_y
_atom_site_fract_z
Ba1 0.2388 0.0412 0.2477
U1 0.5000 0.0000 0.0000
Zn1 0.0000 0.0000 0.5000
S1 0.1861 0.2164 0.9694
S2 0.2556 0.7151 0.9712
S3 0.3065 0.0027 0.7490
```


Here is PaFe4GeH6 after structural relaxation from Alexandria. Energies are from PBE.

Summary:
For the density of states at the Fermi level, the calculation gives 9.4 states/eV/cell.

Geometry as CIF:
```
data_PaFe4GeH6
_cell_length_a 4.2480
_cell_length_b 4.2480
_cell_length_c 6.6300
_cell_angle_alpha 90.00
_cell_angle_beta 90.00
_cell_angle_gamma 120.00
_symmetry_space_group_name_H-M 'P 6/m m m'
_symmetry_Int_Tables_number 191
_symmetry_space_group_name_Hall '-P 6 2'
loop_
_atom_site_label
_atom_site_fract_x
_atom_site_fract_y
_atom_site_fract_z
Pa1 0.0000 0.0000 0.0000
Fe1 0.3333 0.6667 0.3189
Ge1 0.0000 0.0000 0.5000
H1 0.0000 0.5000 0.1425
```


Here is Pm3Pr2NdY6 after structural relaxation from Alexandria. Energies are from PBE.

Summary:
For the density of states at the Fermi level, the calculation gives 28.6 states/eV/cell. The value obtained for the formation energy from the elements is 0.01 eV/atom.

Geometry as CIF:
```
data_Pm3Pr2NdY6
_cell_length_a 6.2943
_cell_length_b 10.9003
_cell_length_c 11.8976
_cell_angle_alpha 90.00
_cell_angle_beta 100.12
_cell_angle_gamma 90.00
_symmetry_space_group_name_H-M 'C 1 2/m 1'
_symmetry_Int_Tables_number 12
loop_
_symmetry_equiv_pos_as_xyz
'x,y,z'
'-x,-y,-z'
'-x,y,-z'
'x,-y,z'
'x+1/2,y+1/2,z'
'-x+1/2,-y+1/2,-z'
'-x+1/2,y+1/2,-z'
'x+1/2,-y+1/2,z'
loop_
_atom_site_label
_atom_site_fract_x
_atom_site_fract_y
_atom_site_fract_z
Pm1 0.0000 0.0000 0.0000
Pm2 0.0000 0.3332 0.0000
Pr1 0.0000 0.1666 0.5000
Nd1 0.0000 0.5000 0.5000
Y1 0.2495 0.5000 0.2487
Y2 0.2498 0.1666 0.2488
```


Here is Be2HSe after structural relaxation from Alexandria. Energies are from PBE.

Summary:
The value obtained for the distance to the lowest polymorph of the same formula is 164 meV/atom.

Geometry as CIF:
```
data_Be2HSe
_cell_length_a 5.0249
_cell_length_b 5.2301
_cell_length_c 5.4505
_cell_angle_alpha 100.53
_cell_angle_beta 113.66
_cell_angle_gamma 108.36
_symmetry_space_group_name_H-M 'P 1'
_symmetry_Int_Tables_number 1
loop_
_symmetry_equiv_pos_as_xyz
'x,y,z'
loop_
_atom_site_label
_atom_site_fract_x
_atom_site_fract_y
_atom_site_fract_z
Be1 0.0000 0.0000 0.0000
Be2 0.0245 0.3514 0.6292
Be3 0.2722 0.8646 0.7248
Be4 0.5775 0.6153 0.8852
H1 0.2868 0.0358 0.9892
H2 0.7536 0.7494 0.7578
Se1 0.7254 0.2585 0.8320
Se2 0.9133 0.9194 0.3486
```


Here is TbCePm6Dy2 after structural relaxation from Alexandria. Energies are from PBE.

Summary:
For the density of states at the Fermi level, the calculation gives 44.9 states/eV/cell. The value obtained for the formation energy from the elements is 0.24 eV/atom.

Geometry as CIF:
```
data_TbCePm6Dy2
_cell_length_a 11.3518
_cell_length_b 6.9723
_cell_length_c 8.8748
_cell_angle_alpha 90.00
_cell_angle_beta 104.14
_cell_angle_gamma 90.00
_symmetry_space_group_name_H-M 'C 1 2/m 1'
_symmetry_Int_Tables_number 12
loop_
_symmetry_equiv_pos_as_xyz
'x,y,z'
'-x,-y,-z'
'-x,y,-z'
'x,-y,z'
'x+1/2,y+1/2,z'
'-x+1/2,-y+1/2,-z'
'-x+1/2,y+1/2,-z'
'x+1/2,-y+1/2,z'
loop_
_atom_site_label
_atom_site_fract_x
_atom_site_fract_y
_atom_site_fract_z
Tb1 0.0000 0.0000 0.0000
Ce1 0.0000 0.5000 0.5000
Pm1 0.1256 0.5000 0.9163
Pm2 0.1725 0.2355 0.2988
Dy1 0.0902 0.0000 0.6650
```


Here is SiBAsRhS after structural relaxation from Alexandria. Energies are from PBE.

Summary:
The calculation puts the formation energy (no corrections) at -0.07 eV per atom. For the density of states at the Fermi level, the calculation gives 2.0 states/eV/cell. The value obtained for the distance to the lowest polymorph of the same formula is 134 meV/atom.

Geometry as CIF:
```
data_SiBAsRhS
_cell_length_a 3.8191
_cell_length_b 4.7730
_cell_length_c 4.9883
_cell_angle_alpha 116.25
_cell_angle_beta 101.49
_cell_angle_gamma 91.83
_symmetry_space_group_name_H-M 'P 1'
_symmetry_Int_Tables_number 1
loop_
_symmetry_equiv_pos_as_xyz
'x,y,z'
loop_
_atom_site_label
_atom_site_fract_x
_atom_site_fract_y
_atom_site_fract_z
Si1 0.0000 0.0000 0.0000
B1 0.3417 0.8674 0.7076
As1 0.6123 0.4736 0.6446
Rh1 0.5592 0.3343 0.0755
S1 0.1270 0.7411 0.2855
```


Here is VHgP3 after structural relaxation from Alexandria. Energies are from PBE.

Summary:
For the density of states at the Fermi level, the calculation gives 7.9 states/eV/cell. The value obtained for the distance to the lowest polymorph of the same formula is 1261 meV/atom. The value obtained for the formation energy from the elements is 1.58 eV/atom.

Geometry as CIF:
```
data_VHgP3
_cell_length_a 4.9288
_cell_length_b 4.9288
_cell_length_c 4.9288
_cell_angle_alpha 90.00
_cell_angle_beta 90.00
_cell_angle_gamma 90.00
_symmetry_space_group_name_H-M 'P m -3 m'
_symmetry_Int_Tables_number 221
_symmetry_space_group_name_Hall '-P 4 2 3'
loop_
_atom_site_label
_atom_site_fract_x
_atom_site_fract_y
_atom_site_fract_z
V1 0.0000 0.0000 0.0000
Hg1 0.5000 0.5000 0.5000
P1 0.0000 0.5000 0.5000
```


Here is MgB2P after structural relaxation from Alexandria. Energies are from PBE.

Summary:
For the density of states at the Fermi level, the calculation gives 0.1 states/eV/cell. The value obtained for the distance to the lowest polymorph of the same formula is 136 meV/atom. The value obtained for the formation energy from the elements is 0.04 eV/atom.

Geometry as CIF:
```
data_MgB2P
_cell_length_a 3.6505
_cell_length_b 4.2969
_cell_length_c 7.6241
_cell_angle_alpha 103.31
_cell_angle_beta 93.91
_cell_angle_gamma 109.85
_symmetry_space_group_name_H-M 'P 1'
_symmetry_Int_Tables_number 1
loop_
_symmetry_equiv_pos_as_xyz
'x,y,z'
loop_
_atom_site_label
_atom_site_fract_x
_atom_site_fract_y
_atom_site_fract_z
Mg1 0.0000 0.0000 0.0000
Mg2 0.0947 0.3815 0.6256
B1 0.2744 0.5173 0.2589
B2 0.6142 0.5454 0.1112
B3 0.6512 0.9132 0.2619
B4 0.7618 0.3385 0.2817
P1 0.5895 0.3010 0.8563
P2 0.6785 0.7080 0.4763
```


| no. | E (eV/cell) | volume (Å³/cell) | total magnetization (μB per cell) |
| --- | --- | --- | --- |
| 1 | -24.7 | 149.1 | 0.419 |
| 2 | -21.5 | 89.5 | 0.000 |
| 3 | -111.6 | 505.6 | 0.000 |
| 4 | -69.8 | 103.6 | 7.824 |
| 5 | -134.5 | 803.6 | 0.000 |
| 6 | -29.2 | 116.4 | 0.000 |
| 7 | -91.7 | 681.1 | 2.448 |
| 8 | -28.6 | 79.2 | 0.000 |
| 9 | -17.8 | 119.7 | 2.550 |
| 10 | -40.4 | 108.1 | 0.000 |